YAl2I2 | meta-GGA SCAN | PBEsol geometry

Its polymorph energy (0 for the lowest one) is 0.4388 eV/atom. Its uncorrected formation energy is 0.1132 eV/atom. As for the total energy: -23.253 eV per atom. As for the volume: 28.1 Å³ per atom.

It has space group P4/mbm (No. 127), with a = 8.3249 Å, b = 8.3249 Å, c = 4.0515 Å, α = 90.00°, β = 90.00° and γ = 90.00°. The inequivalent atoms are Y at (0.0000, 0.0000, 0.0000), Al at (0.1777, 0.3223, 0.5000) and I at (0.1480, 0.6480, 0.0000).

***

Al2ZnI | meta-GGA SCAN | PBEsol geometry

Its polymorph energy (0 for the lowest one) is 0.2719 eV/atom. Its uncorrected formation energy is 0.6364 eV/atom. As for the total energy: -15.804 eV per atom. As for the volume: 21.9 Å³ per atom.

It has space group Fm-3m (No. 225), with a = 7.0514 Å, b = 7.0514 Å, c = 7.0514 Å, α = 90.00°, β = 90.00° and γ = 90.00°. The inequivalent atoms are Al at (0.2500, 0.2500, 0.2500), Zn at (0.0000, 0.0000, 0.0000) and I at (0.0000, 0.0000, 0.5000).

***

AlZnI3 | meta-GGA SCAN | PBEsol geometry

Its uncorrected formation energy is -0.0456 eV/atom. As for the total energy: -26.344 eV per atom. As for the volume: 33.0 Å³ per atom.

It has space group Pm-3m (No. 221), with a = 5.4830 Å, b = 5.4830 Å, c = 5.4830 Å, α = 90.00°, β = 90.00° and γ = 90.00°. The inequivalent atoms are Al at (0.0000, 0.0000, 0.0000), Zn at (0.5000, 0.5000, 0.5000) and I at (0.0000, 0.5000, 0.5000).